No. 1
12
Lattice="3.9844 -6.9024 0.0000 3.9844 6.9024 0.0000 -2.6583 0.0000 8.2355" Properties=species:S:1:pos:R:3 comment="K3Nd2SbTe6, optimized geometry, DFT PBE" dos_at_fermi_per_ev_fu=0.0 sg=C2/m raw_formation_energy_ev_per_atom=-1.115 density_g_cm3=4.740 dft_energy_ev_per_atom=-4.0980 pbc="T T T"
K 0.0000 0.0000 0.0000
K 3.9844 2.3165 0.0000
K 3.9844 -2.3165 0.0000
Nd 2.6552 4.6053 4.1177
Nd 2.6552 -4.6053 4.1177
Sb 2.6552 0.0000 4.1177
Te 1.3605 2.2445 2.3841
Te 0.0669 0.0000 5.8528
Te 1.3605 -2.2445 2.3841
Te 3.9500 2.2445 5.8514
Te 5.2435 0.0000 2.3827
Te 3.9500 -2.2445 5.8514



No. 2
12
Lattice="3.5750 -6.1940 0.0000 3.5750 6.1940 0.0000 -2.3955 0.0000 7.6529" Properties=species:S:1:pos:R:3 comment="K3NdSc2Se6, optimized geometry, DFT PBE" dos_at_fermi_per_ev_fu=0.0 sg=C2/m raw_formation_energy_ev_per_atom=-1.652 density_g_cm3=4.043 dft_energy_ev_per_atom=-5.1212 pbc="T T T"
K 0.0000 0.0000 0.0000
K 3.5750 2.0174 0.0000
K 3.5750 -2.0174 0.0000
Nd 2.3772 0.0000 3.8265
Sc 2.3772 4.1236 3.8265
Sc 2.3772 -4.1236 3.8265
Se 1.1156 2.1876 2.2936
Se -0.1491 0.0000 5.3537
Se 1.1156 -2.1876 2.2936
Se 3.6388 2.1876 5.3593
Se 4.9035 0.0000 2.2992
Se 3.6388 -2.1876 5.3593



No. 3
8
Lattice="7.2545 0.0000 0.0000 0.0000 4.1895 0.0000 -2.4126 0.0000 7.6696" Properties=species:S:1:pos:R:3 comment="K2NdScSe4, optimized geometry, DFT PBE" dos_at_fermi_per_ev_fu=0.0 sg=P2/m raw_formation_energy_ev_per_atom=-1.665 density_g_cm3=4.155 dft_energy_ev_per_atom=-5.0695 pbc="T T T"
K 0.0000 0.0000 0.0000
K 3.6272 2.0947 0.0000
Nd -1.2063 2.0947 3.8348
Sc 2.4209 0.0000 3.8348
Se 0.1367 0.0000 5.4213
Se 1.3334 2.0947 2.3119
Se 3.5084 2.0947 5.3577
Se 4.7051 0.0000 2.2483



No. 4
15
Lattice="4.4613 2.5758 8.5556 -4.4613 2.5758 8.5556 0.0000 -5.1515 8.5556" Properties=species:S:1:pos:R:3 comment="K3Nd3ScTe8, optimized geometry, DFT PBE" dos_at_fermi_per_ev_fu=7.7 sg=R-3m raw_formation_energy_ev_per_atom=-1.287 density_g_cm3=4.548 dft_energy_ev_per_atom=-4.5577 pbc="T T T"
K -2.2307 -1.2879 8.5556
K -2.2307 1.2879 17.1112
K 0.0000 2.5758 8.5556
Nd -4.4613 0.0000 12.8334
Nd -2.2307 1.2879 4.2778
Nd 2.2307 1.2879 4.2778
Sc 0.0000 0.0000 12.8334
Te 0.0000 0.0000 6.1328
Te -2.1042 -1.2149 14.5815
Te 0.0000 -2.4298 11.0854
Te -2.1042 1.2149 11.0854
Te 2.1042 -1.2149 14.5814
Te 0.0000 2.4298 14.5814
Te 2.1042 1.2149 11.0854
Te 0.0000 0.0000 19.5340